ScAlV2O6 | GGA+U | relaxed

```
data_ScAlV2O6
_cell_length_a 5.1078
_cell_length_b 5.1104
_cell_length_c 5.4819
_cell_angle_alpha 90.11
_cell_angle_beta 117.72
_cell_angle_gamma 119.33
_space_group_name_H-M_alt 'P 1'
_space_group_IT_number 1
loop_
_space_group_symop_operation_xyz
'x,y,z'
loop_
_atom_site_label
_atom_site_type_symbol
_atom_site_fract_x
_atom_site_fract_y
_atom_site_fract_z
Sc1 Sc 0.0000 0.0000 0.0000
Al1 Al 0.0094 0.5055 0.5218
V1 V 0.4103 0.2006 0.6177
V2 V 0.4193 0.7066 0.1335
O1 O 0.2037 0.4185 0.3332
O2 O 0.2149 0.3140 0.8112
O3 O 0.4956 0.8987 0.8133
O4 O 0.5447 0.1311 0.3369
O5 O 0.9061 0.7816 0.3295
O6 O 0.9215 0.6022 0.8164
```

Computed properties:
E_tot: -8.10 eV per atom
Calculated volume: 105 Å³/f.u.
Calculated density: 4.25 g/cm³